VASP calculation (GGA-PBE) on an optimized crystal structure of Tl5SbSe5.

```
data_Tl5SbSe5
_chemical_formula_sum 'Tl10 Sb2 Se10'
_cell_length_a 13.387
_cell_length_b 6.225
_cell_length_c 8.668
_cell_angle_alpha 90.00
_cell_angle_beta 102.78
_cell_angle_gamma 90.00
_space_group_name_H-M_alt 'C 1 2/m 1'
_space_group_IT_number 12
loop_
_space_group_symop_operation_xyz
'x,y,z'
'-x,-y,-z'
'-x,y,-z'
'x,-y,z'
'x+1/2,y+1/2,z'
'-x+1/2,-y+1/2,-z'
'-x+1/2,y+1/2,-z'
'x+1/2,-y+1/2,z'
loop_
_atom_site_label
_atom_site_type_symbol
_atom_site_fract_x
_atom_site_fract_y
_atom_site_fract_z
_atom_site_occupancy
Tl1 Tl 0.000 0.000 0.000 1
Tl2 Tl 0.160 0.500 0.862 1
Tl3 Tl 0.183 0.500 0.375 1
Sb1 Sb 0.000 0.000 0.500 1
Se1 Se 0.000 0.500 0.500 1
Se2 Se 0.153 0.000 0.791 1
Se3 Se 0.161 0.000 0.324 1
```

Total magnetic moment, μB/atom: 0.000
DOS(E_F), states/eV per cell: 6.7
E, eV/atom: -3.30

VASP calculation (GGA-PBE) on an optimized crystal structure of SrGeF4.

```
data_SrGeF4
_chemical_formula_sum 'Sr2 Ge2 F8'
_cell_length_a 7.181
_cell_length_b 7.181
_cell_length_c 10.327
_cell_angle_alpha 90.00
_cell_angle_beta 90.00
_cell_angle_gamma 90.00
_space_group_name_H-M_alt 'I -4'
_space_group_IT_number 82
loop_
_space_group_symop_operation_xyz
'x,y,z'
'y,-x,-z'
'-x,-y,z'
'-y,x,-z'
'x+1/2,y+1/2,z+1/2'
'y+1/2,-x+1/2,-z+1/2'
'-x+1/2,-y+1/2,z+1/2'
'-y+1/2,x+1/2,-z+1/2'
loop_
_atom_site_label
_atom_site_type_symbol
_atom_site_fract_x
_atom_site_fract_y
_atom_site_fract_z
_atom_site_occupancy
Sr1 Sr 0.000 0.000 0.000 1
Ge1 Ge 0.000 0.500 0.250 1
F1 F 0.013 0.262 0.131 1
```

Total magnetic moment, μB/atom: 0.000
E above lowest polymorph, eV/atom: 0.163
DOS(E_F), states/eV per cell: 0.0
E, eV/atom: -5.07

VASP calculation (GGA-PBE) on an optimized crystal structure of Be2AlRu5W2.

```
data_Be2AlRu5W2
_chemical_formula_sum 'Be4 Al2 Ru10 W4'
_cell_length_a 9.277
_cell_length_b 9.277
_cell_length_c 3.010
_cell_angle_alpha 90.00
_cell_angle_beta 90.00
_cell_angle_gamma 90.00
_space_group_name_H-M_alt 'P 4/m b m'
_space_group_IT_number 127
_space_group_name_Hall '-P 4 2ab'
loop_
_atom_site_label
_atom_site_type_symbol
_atom_site_fract_x
_atom_site_fract_y
_atom_site_fract_z
_atom_site_occupancy
Be1 Be 0.125 0.375 0.000 1
Al1 Al 0.000 0.000 0.000 1
Ru1 Ru 0.000 0.500 0.500 1
Ru2 Ru 0.068 0.208 0.500 1
W1 W 0.175 0.675 0.000 1
```

ΔE_f, eV per atom: -0.250
Total magnetic moment, μB/atom: 0.000
DOS(E_F), states/eV per cell: 13.9
E, eV/atom: -8.60

VASP calculation (GGA-PBE) on an optimized crystal structure of Sb.

```
data_Sb
_chemical_formula_sum 'Sb2'
_cell_length_a 3.152
_cell_length_b 3.152
_cell_length_c 5.637
_cell_angle_alpha 90.00
_cell_angle_beta 90.00
_cell_angle_gamma 90.00
_space_group_name_H-M_alt 'I 4/m m m'
_space_group_IT_number 139
_space_group_name_Hall '-I 4 2'
loop_
_atom_site_label
_atom_site_type_symbol
_atom_site_fract_x
_atom_site_fract_y
_atom_site_fract_z
_atom_site_occupancy
Sb1 Sb 0.000 0.000 0.000 1
```

Total magnetic moment, μB/atom: 0.000
E above lowest polymorph, eV/atom: 0.302
DOS(E_F), states/eV per cell: 1.2
E, eV/atom: -3.82

Repeat the first record exactly.
VASP calculation (GGA-PBE) on an optimized crystal structure of Tl5SbSe5.

```
data_Tl5SbSe5
_chemical_formula_sum 'Tl10 Sb2 Se10'
_cell_length_a 13.387
_cell_length_b 6.225
_cell_length_c 8.668
_cell_angle_alpha 90.00
_cell_angle_beta 102.78
_cell_angle_gamma 90.00
_space_group_name_H-M_alt 'C 1 2/m 1'
_space_group_IT_number 12
loop_
_space_group_symop_operation_xyz
'x,y,z'
'-x,-y,-z'
'-x,y,-z'
'x,-y,z'
'x+1/2,y+1/2,z'
'-x+1/2,-y+1/2,-z'
'-x+1/2,y+1/2,-z'
'x+1/2,-y+1/2,z'
loop_
_atom_site_label
_atom_site_type_symbol
_atom_site_fract_x
_atom_site_fract_y
_atom_site_fract_z
_atom_site_occupancy
Tl1 Tl 0.000 0.000 0.000 1
Tl2 Tl 0.160 0.500 0.862 1
Tl3 Tl 0.183 0.500 0.375 1
Sb1 Sb 0.000 0.000 0.500 1
Se1 Se 0.000 0.500 0.500 1
Se2 Se 0.153 0.000 0.791 1
Se3 Se 0.161 0.000 0.324 1
```

Total magnetic moment, μB/atom: 0.000
DOS(E_F), states/eV per cell: 6.7
E, eV/atom: -3.30

Please write out number 1 again, unchanged.
VASP calculation (GGA-PBE) on an optimized crystal structure of Tl5SbSe5.

```
data_Tl5SbSe5
_chemical_formula_sum 'Tl10 Sb2 Se10'
_cell_length_a 13.387
_cell_length_b 6.225
_cell_length_c 8.668
_cell_angle_alpha 90.00
_cell_angle_beta 102.78
_cell_angle_gamma 90.00
_space_group_name_H-M_alt 'C 1 2/m 1'
_space_group_IT_number 12
loop_
_space_group_symop_operation_xyz
'x,y,z'
'-x,-y,-z'
'-x,y,-z'
'x,-y,z'
'x+1/2,y+1/2,z'
'-x+1/2,-y+1/2,-z'
'-x+1/2,y+1/2,-z'
'x+1/2,-y+1/2,z'
loop_
_atom_site_label
_atom_site_type_symbol
_atom_site_fract_x
_atom_site_fract_y
_atom_site_fract_z
_atom_site_occupancy
Tl1 Tl 0.000 0.000 0.000 1
Tl2 Tl 0.160 0.500 0.862 1
Tl3 Tl 0.183 0.500 0.375 1
Sb1 Sb 0.000 0.000 0.500 1
Se1 Se 0.000 0.500 0.500 1
Se2 Se 0.153 0.000 0.791 1
Se3 Se 0.161 0.000 0.324 1
```

Total magnetic moment, μB/atom: 0.000
DOS(E_F), states/eV per cell: 6.7
E, eV/atom: -3.30

> What is the formula in the third record?

Be2AlRu5W2